1.
First-principles (GGA-PBE) data for ErZr4 after structural relaxation, as listed in Alexandria.

a b c (Å): 4.2731 4.2699 7.6728
angles (deg): 106.11 106.12 90.04
Closest atoms and distances in Å follow each position.
Fractional coordinates of all 5 atoms:
Er1 0.4999 0.0000 0.4999  8 Zr 3.31
Zr1 0.7499 0.7501 0.0000  8 Zr 3.02-3.05
Zr2 0.2501 0.2500 0.0001  8 Zr 3.02-3.05
Zr3 0.9038 0.4038 0.3073  5 Zr 2.72-3.05
Zr4 0.0962 0.5962 0.6927  5 Zr 2.72-3.05

Results
SG = C2/m (12)
DOS at the Fermi energy = 6.71 states/eV/cell
ΔH_f (0 K) = 305 meV per atom

---

2.
First-principles (GGA-PBE) data for HfP2RuCl after structural relaxation, as listed in Alexandria.

a b c (Å): 4.9983 4.9983 4.8173
angles (deg): 90.00 90.00 90.00
Closest atoms and distances in Å follow each position.
Fractional coordinates of all 5 atoms:
Ru1 0.5000 0.5000 0.5000  8 P 3.47, 4 Cl 3.53
Hf1 0.0000 0.0000 0.0000  2 Cl 2.41, 4 P 2.50
P1 0.0000 0.5000 0.0000  2 Hf 2.50
P2 0.5000 0.0000 0.0000  2 Hf 2.50
Cl1 0.0000 0.0000 0.5000  2 Hf 2.41

Results
raw formation energy = 0.63 eV per atom
SG = P4/mmm (123)
DOS at the Fermi energy = 5.36 states/eV/cell

---

3.
First-principles (GGA-PBE) data for K2ScO2 after structural relaxation, as listed in Alexandria.

a b c (Å): 7.3183 7.3183 3.1030
angles (deg): 90.00 90.00 90.00
Closest atoms and distances in Å follow each position.
Fractional coordinates of all 10 atoms:
Sc1 0.0000 0.0000 0.0000  4 K 2.90, 8 O 3.09, 2 Sc 3.10
Sc2 0.5000 0.5000 0.0000  4 K 2.90, 8 O 3.09, 2 Sc 3.10
K1 0.3758 0.8758 0.0000  6 O 2.52-2.78, 1 K 2.57
K2 0.8758 0.6242 0.0000  6 O 2.52-2.78, 1 K 2.57
K3 0.6242 0.1242 0.0000  6 O 2.52-2.78, 1 K 2.57
K4 0.1242 0.3758 0.0000  6 O 2.52-2.78, 1 K 2.57
O1 0.1844 0.6844 0.5000  6 K 2.52-2.78
O2 0.6844 0.8156 0.5000  6 K 2.52-2.78
O3 0.8156 0.3156 0.5000  6 K 2.52-2.78
O4 0.3156 0.1844 0.5000  6 K 2.52-2.78

Results
raw formation energy = -0.52 eV per atom
SG = P4/mbm (127)
DOS at the Fermi energy = 4.73 states/eV/cell

---

4.
First-principles (GGA-PBE) data for AlFeW2 after structural relaxation, as listed in Alexandria.

a b c (Å): 6.9857 6.9857 5.5738
angles (deg): 51.20 51.20 90.00
Closest atoms and distances in Å follow each position.
Fractional coordinates of all 8 atoms:
Fe1 0.0000 0.0000 0.0000  4 W 2.36, 2 Al 2.58
Fe2 0.7500 0.2500 0.5000  4 W 2.36, 2 Al 2.58
W1 0.6684 0.1250 0.2500  2 Fe 2.36
W2 0.0816 0.6250 0.2500  2 Fe 2.36
W3 0.3750 0.3316 0.7500  2 Fe 2.36
W4 0.8750 0.9184 0.7500  2 Fe 2.36
Al1 0.5000 0.5000 0.0000  2 Fe 2.58, 4 W 2.77
Al2 0.2500 0.7500 0.5000  2 Fe 2.58, 4 W 2.77

Results
SG = I-42d (122)
DOS at the Fermi energy = 8.62 states/eV/cell
ΔH_f (0 K) = 616 meV per atom

---

5.
First-principles (GGA-PBE) data for TmZn3Au after structural relaxation, as listed in Alexandria.

a b c (Å): 6.1702 5.2937 5.5432
angles (deg): 90.00 89.13 90.00
Closest atoms and distances in Å follow each position.
Fractional coordinates of all 10 atoms:
Tm1 0.6625 0.7500 0.3467  4 Au 2.95-3.08, 7 Zn 3.02-3.29
Tm2 0.3375 0.2500 0.6533  4 Au 2.95-3.08, 7 Zn 3.02-3.29
Zn1 0.8375 0.0040 0.8496  5 Zn 2.60-2.69, 2 Au 2.71-2.79
Zn2 0.1625 0.9960 0.1504  5 Zn 2.60-2.69, 2 Au 2.71-2.79
Zn3 0.8375 0.4960 0.8496  5 Zn 2.60-2.69, 2 Au 2.71-2.79
Zn4 0.1625 0.5040 0.1504  5 Zn 2.60-2.69, 2 Au 2.71-2.79
Zn5 0.1091 0.7500 0.5626  4 Zn 2.65-2.66, 1 Au 2.67
Zn6 0.8909 0.2500 0.4374  4 Zn 2.65-2.66, 1 Au 2.67
Au1 0.4563 0.7500 0.8448  5 Zn 2.67-2.79, 2 Tm 2.95
Au2 0.5437 0.2500 0.1552  5 Zn 2.67-2.79, 2 Tm 2.95

Results
SG = P2_1/m (11)
DOS at the Fermi energy = 3.84 states/eV/cell
ΔH_f (0 K) = -419 meV per atom

---

6.
First-principles (GGA-PBE) data for Sc2Ta2V after structural relaxation, as listed in Alexandria.

a b c (Å): 6.4718 6.4718 4.8437
angles (deg): 90.00 90.00 90.00
Closest atoms and distances in Å follow each position.
Fractional coordinates of all 10 atoms:
Sc1 0.1667 0.6667 0.5000  6 Ta 2.95-3.17, 1 Sc 3.05
Sc2 0.6667 0.8333 0.5000  6 Ta 2.95-3.17, 1 Sc 3.05
Sc3 0.8333 0.3333 0.5000  6 Ta 2.95-3.17, 1 Sc 3.05
Sc4 0.3333 0.1667 0.5000  6 Ta 2.95-3.17, 1 Sc 3.05
Ta1 0.3515 0.8515 0.0000  2 V 2.47, 1 Ta 2.72
Ta2 0.8515 0.6485 0.0000  2 V 2.47, 1 Ta 2.72
Ta3 0.6485 0.1485 0.0000  2 V 2.47, 1 Ta 2.72
Ta4 0.1485 0.3515 0.0000  2 V 2.47, 1 Ta 2.72
V1 0.0000 0.0000 0.0000  4 Ta 2.47
V2 0.5000 0.5000 0.0000  4 Ta 2.47

Results
SG = P4/mbm (127)
DOS at the Fermi energy = 8.23 states/eV/cell
ΔH_f (0 K) = 357 meV per atom

---

Number 1: total magnetization 0.00 μB/cell, total DFT energy (no corrections) -7.446 eV/atom. Number 2: total magnetization 3.13 μB/cell, total DFT energy (no corrections) -5.745 eV/atom. Number 3: total magnetization 0.00 μB/cell, total DFT energy (no corrections) -4.208 eV/atom. Number 4: total magnetization 0.00 μB/cell, total DFT energy (no corrections) -8.912 eV/atom. Number 5: total magnetization 0.00 μB/cell, total DFT energy (no corrections) -2.733 eV/atom. Number 6: total magnetization 0.00 μB/cell, total DFT energy (no corrections) -8.740 eV/atom.